No. 1
First-principles (PBE) data for a relaxed structure of Tb2ErCdC, as listed in Alexandria.

abc: 4.9843 4.9843 4.8295
angles: 90.00 90.00 90.00
Last column: nearest neighbours and their distance in Å.
Fractional positions:
Tb 0.0000 0.5000 0.0000  2 C 2.49
Tb 0.5000 0.0000 0.0000  2 C 2.49
Er 0.0000 0.0000 0.5000  2 C 2.41
Cd 0.5000 0.5000 0.5000  8 Tb 3.47, 4 Er 3.52
C 0.0000 0.0000 0.0000  2 Er 2.41, 4 Tb 2.49

Values from the calculation:
ΔH_f (0 K): -0.30 eV/atom
Energy: -25.47 eV/cell
SG: No. 123



No. 2
First-principles (PBE) data for a relaxed structure of Er2ThCdC, as listed in Alexandria.

abc: 4.9032 4.9032 5.0581
angles: 90.00 90.00 90.00
Last column: nearest neighbours and their distance in Å.
Fractional positions:
Er 0.0000 0.5000 0.0000  2 C 2.45
Er 0.5000 0.0000 0.0000  2 C 2.45
Th 0.0000 0.0000 0.5000  2 C 2.53
Cd 0.5000 0.5000 0.5000  4 Th 3.47, 8 Er 3.52
C 0.0000 0.0000 0.0000  4 Er 2.45, 2 Th 2.53

Values from the calculation:
ΔH_f (0 K): -0.30 eV/atom
Energy: -28.17 eV/cell
SG: No. 123



No. 3
First-principles (PBE) data for a relaxed structure of ErThCdC, as listed in Alexandria.

abc: 8.6523 8.6523 8.6523
angles: 23.88 23.88 23.88
Last column: nearest neighbours and their distance in Å.
Fractional positions:
Er 0.0000 0.0000 0.0000  3 C 2.45
Th 0.2227 0.2227 0.2227  3 C 2.54
Cd 0.7725 0.7725 0.7725  3 Er 3.38, 6 Cd 3.58, 3 Th 3.60
C 0.6145 0.6145 0.6145  3 Er 2.45, 3 Th 2.54

Values from the calculation:
ΔH_f (0 K): -0.28 eV/atom
Energy: -23.23 eV/cell
SG: No. 160



No. 4
First-principles (PBE) data for a relaxed structure of Er2TmCdC, as listed in Alexandria.

abc: 4.8851 4.8851 4.8342
angles: 90.00 90.00 90.00
Last column: nearest neighbours and their distance in Å.
Fractional positions:
Er 0.0000 0.5000 0.0000  2 C 2.44
Er 0.5000 0.0000 0.0000  2 C 2.44
Tm 0.0000 0.0000 0.5000  2 C 2.42
Cd 0.5000 0.5000 0.5000  8 Er 3.44, 4 Tm 3.45
C 0.0000 0.0000 0.0000  2 Tm 2.42, 4 Er 2.44

Values from the calculation:
ΔH_f (0 K): -0.34 eV/atom
Energy: -25.45 eV/cell
SG: No. 123



No. 5
First-principles (PBE) data for a relaxed structure of ErTm2CdC, as listed in Alexandria.

abc: 4.8419 4.8419 4.8917
angles: 90.00 90.00 90.00
Last column: nearest neighbours and their distance in Å.
Fractional positions:
Er 0.0000 0.0000 0.0000  2 C 2.45
Tm 0.0000 0.5000 0.5000  2 C 2.42
Tm 0.5000 0.0000 0.5000  2 C 2.42
Cd 0.5000 0.5000 0.0000  4 Er 3.42, 8 Tm 3.44
C 0.0000 0.0000 0.5000  4 Tm 2.42, 2 Er 2.45

Values from the calculation:
ΔH_f (0 K): -0.35 eV/atom
Energy: -25.38 eV/cell
SG: No. 123



No. 6
First-principles (PBE) data for a relaxed structure of Y2ErCdC, as listed in Alexandria.

abc: 4.9547 4.9547 4.8615
angles: 90.00 90.00 90.00
Last column: nearest neighbours and their distance in Å.
Fractional positions:
Y 0.0000 0.5000 0.0000  2 C 2.48
Y 0.5000 0.0000 0.0000  2 C 2.48
Er 0.0000 0.0000 0.5000  2 C 2.43
Cd 0.5000 0.5000 0.5000  8 Y 3.47, 4 Er 3.50
C 0.0000 0.0000 0.0000  2 Er 2.43, 4 Y 2.48

Values from the calculation:
ΔH_f (0 K): -0.33 eV/atom
Energy: -29.30 eV/cell
SG: No. 123



No. 7
First-principles (PBE) data for a relaxed structure of YEr2CdC, as listed in Alexandria.

abc: 4.8712 4.8712 4.9608
angles: 90.00 90.00 90.00
Last column: nearest neighbours and their distance in Å.
Fractional positions:
Y 0.0000 0.0000 0.0000  2 C 2.48
Er 0.0000 0.5000 0.5000  2 C 2.44
Er 0.5000 0.0000 0.5000  2 C 2.44
Cd 0.5000 0.5000 0.0000  4 Y 3.44, 8 Er 3.48
C 0.0000 0.0000 0.5000  4 Er 2.44, 2 Y 2.48

Values from the calculation:
ΔH_f (0 K): -0.33 eV/atom
Energy: -27.40 eV/cell
SG: No. 123



No. 8
First-principles (PBE) data for a relaxed structure of Cd2C2F, as listed in Alexandria.

abc: 10.5141 10.5141 10.5141
angles: 165.83 165.83 20.10
Last column: nearest neighbours and their distance in Å.
Fractional positions:
Cd 0.0937 0.0937 0.0000  4 Cd 2.59, 4 F 2.67
Cd 0.9063 0.9063 0.0000  4 Cd 2.59, 4 F 2.67
C 0.2500 0.7500 0.5000  4 C 1.83
C 0.7500 0.2500 0.5000  4 C 1.83
F 0.5000 0.5000 0.0000  4 F 2.59, 8 Cd 2.67

Values from the calculation:
ΔE to the lowest computed polymorph: 0.837 eV/atom
Energy: -17.31 eV/cell
SG: No. 139



No. 9
First-principles (PBE) data for a relaxed structure of CdCF2, as listed in Alexandria.

abc: 4.1135 4.1135 4.1135
angles: 60.00 60.00 60.00
Last column: nearest neighbours and their distance in Å.
Fractional positions:
Cd 0.0000 0.0000 0.0000  8 F 2.52
C 0.5000 0.5000 0.5000  8 F 2.52
F 0.2500 0.2500 0.2500  4 Cd 2.52, 4 C 2.52
F 0.7500 0.7500 0.7500  4 Cd 2.52, 4 C 2.52

Values from the calculation:
ΔE to the lowest computed polymorph: 0.110 eV/atom
Energy: -12.23 eV/cell
SG: No. 225



No. 10
First-principles (PBE) data for a relaxed structure of Cd2C4F, as listed in Alexandria.

abc: 7.5428 7.5428 7.5428
angles: 152.36 152.36 39.48
Last column: nearest neighbours and their distance in Å.
Fractional positions:
Cd 0.1255 0.1255 0.0000  1 C 2.20
Cd 0.8745 0.8745 0.0000  1 C 2.20
C 0.0000 0.5000 0.5000  2 F 1.80
C 0.2806 0.2806 0.0000  1 Cd 2.20
C 0.5000 0.0000 0.5000  2 F 1.80
C 0.7194 0.7194 0.0000  1 Cd 2.20
F 0.5000 0.5000 0.0000  4 C 1.80

Values from the calculation:
Energy: -21.96 eV/cell
SG: No. 139



No. 11
First-principles (PBE) data for a relaxed structure of CdCF2, as listed in Alexandria.

abc: 7.7458 7.7458 7.7458
angles: 151.90 151.90 40.16
Last column: nearest neighbours and their distance in Å.
Fractional positions:
Cd 0.0000 0.0000 0.0000  4 F 2.29
Cd 0.7500 0.2500 0.5000  4 F 2.29
C 0.2500 0.7500 0.5000  4 F 2.22
C 0.5000 0.5000 0.0000  4 F 2.22
F 0.1466 0.6250 0.0216  2 C 2.22, 2 Cd 2.29
F 0.3750 0.3966 0.5216  2 C 2.22, 2 Cd 2.29
F 0.6034 0.1250 0.9784  2 C 2.22, 2 Cd 2.29
F 0.8750 0.8534 0.4784  2 C 2.22, 2 Cd 2.29

Values from the calculation:
ΔE to the lowest computed polymorph: 0.000 eV/atom
Energy: -25.33 eV/cell
SG: No. 122



No. 12
First-principles (PBE) data for a relaxed structure of Cd2C2F, as listed in Alexandria.

abc: 6.7546 6.7546 3.8269
angles: 90.00 90.00 90.00
Last column: nearest neighbours and their distance in Å.
Fractional positions:
Cd 0.1920 0.3080 0.0000  2 C 2.25, 2 F 2.45
Cd 0.3080 0.8080 0.0000  2 C 2.25, 2 F 2.45
Cd 0.6920 0.1920 0.0000  2 C 2.25, 2 F 2.45
Cd 0.8080 0.6920 0.0000  2 C 2.25, 2 F 2.45
C 0.0676 0.4324 0.5000  1 C 1.29
C 0.4324 0.9324 0.5000  1 C 1.29
C 0.5676 0.0676 0.5000  1 C 1.29
C 0.9324 0.5676 0.5000  1 C 1.29
F 0.0000 0.0000 0.0000  4 Cd 2.45
F 0.5000 0.5000 0.0000  4 Cd 2.45

Values from the calculation:
ΔE to the lowest computed polymorph: 0.000 eV/atom
Energy: -42.98 eV/cell
SG: No. 127



No. 13
First-principles (PBE) data for a relaxed structure of CdCF2, as listed in Alexandria.

abc: 7.4467 7.4467 7.4467
angles: 22.94 22.94 22.94
Last column: nearest neighbours and their distance in Å.
Fractional positions:
Cd 0.0000 0.0000 0.0000  6 F 2.54
C 0.5000 0.5000 0.5000  2 F 1.75
F 0.4195 0.4195 0.4195  1 C 1.75
F 0.5805 0.5805 0.5805  1 C 1.75

Values from the calculation:
ΔE to the lowest computed polymorph: 0.018 eV/atom
Energy: -12.60 eV/cell
SG: No. 166



No. 14
First-principles (PBE) data for a relaxed structure of CdGa2CF, as listed in Alexandria.

abc: 4.1056 4.1056 4.9760
angles: 90.00 90.00 90.00
Last column: nearest neighbours and their distance in Å.
Fractional positions:
Cd 0.0000 0.0000 0.0000  4 F 2.90, 8 Ga 3.23
Ga 0.0000 0.5000 0.5000  2 C 2.05
Ga 0.5000 0.0000 0.5000  2 C 2.05
C 0.5000 0.5000 0.5000  4 Ga 2.05
F 0.5000 0.5000 0.0000  2 C 2.49

Values from the calculation:
Energy: -16.31 eV/cell
SG: No. 123



No. 15
First-principles (PBE) data for a relaxed structure of Hf2CdCF, as listed in Alexandria.

abc: 4.2949 4.2949 4.5518
angles: 90.00 90.00 90.00
Last column: nearest neighbours and their distance in Å.
Fractional positions:
Hf 0.0000 0.5000 0.0000  2 F 2.15
Hf 0.5000 0.0000 0.0000  2 F 2.15
Cd 0.0000 0.0000 0.5000  4 C 3.04, 8 Hf 3.13
C 0.5000 0.5000 0.5000  2 F 2.28
F 0.5000 0.5000 0.0000  4 Hf 2.15, 2 C 2.28

Values from the calculation:
Energy: -29.39 eV/cell
SG: No. 123



No. 16
First-principles (PBE) data for a relaxed structure of RbLi2CdC2O6F, as listed in Alexandria.

abc: 4.9912 4.9912 15.7086
angles: 90.00 90.00 120.00
Last column: nearest neighbours and their distance in Å.
Fractional positions:
Rb 0.0000 0.0000 0.2500  3 F 2.88, 6 O 3.13
Rb 0.0000 0.0000 0.7500  3 F 2.88, 6 O 3.13
Li 0.3333 0.6667 0.1303  1 F 1.88, 3 O 1.98
Li 0.3333 0.6667 0.3697  1 F 1.88, 3 O 1.98
Li 0.6667 0.3333 0.6303  1 F 1.88, 3 O 1.98
Li 0.6667 0.3333 0.8697  1 F 1.88, 3 O 1.98
Cd 0.0000 0.0000 0.0000  6 O 2.34
Cd 0.0000 0.0000 0.5000  6 O 2.34
C 0.3333 0.6667 0.5895  3 O 1.30
C 0.3333 0.6667 0.9105  3 O 1.30
C 0.6667 0.3333 0.0895  3 O 1.30
C 0.6667 0.3333 0.4105  3 O 1.30
O 0.0735 0.6679 0.5902  1 C 1.30
O 0.0735 0.6679 0.9098  1 C 1.30
O 0.3321 0.4055 0.5902  1 C 1.30
O 0.3321 0.4055 0.9098  1 C 1.30
O 0.4055 0.0735 0.0902  1 C 1.30
O 0.4055 0.0735 0.4098  1 C 1.30
O 0.5945 0.9265 0.5902  1 C 1.30
O 0.5945 0.9265 0.9098  1 C 1.30
O 0.6679 0.5945 0.0902  1 C 1.30
O 0.6679 0.5945 0.4098  1 C 1.30
O 0.9265 0.3321 0.0902  1 C 1.30
O 0.9265 0.3321 0.4098  1 C 1.30
F 0.3333 0.6667 0.2500  2 Li 1.88
F 0.6667 0.3333 0.7500  2 Li 1.88

Values from the calculation:
Energy: -159.26 eV/cell
SG: No. 176



no.,size of the total moment (μB/atom)
1,0.00
2,0.00
3,0.00
4,0.14
5,0.14
6,0.15
7,0.14
8,0.00
9,0.50
10,0.00
11,0.12
12,0.00
13,0.00
14,0.00
15,0.00
16,0.00